Entry 1:
A plane-wave DFT calculation with PBE was carried out for Tb7Dy3Tm2 after structural relaxation.

Lattice parameters (Å, degrees): 11.6615 11.6615 11.6615 32.18 32.18 32.18
Sites, in units of the cell vectors:
1 Tb 0.0000 0.0000 0.0000
2 Tb 0.0863 0.0862 0.5807
3 Tb 0.0863 0.5807 0.0863
4 Tb 0.4193 0.9137 0.9137
5 Tb 0.5807 0.0862 0.0862
6 Tb 0.9138 0.4193 0.9138
7 Tb 0.9138 0.9138 0.4193
8 Dy 0.3476 0.3476 0.3476
9 Dy 0.5000 0.5000 0.5000
10 Dy 0.6524 0.6524 0.6524
11 Tm 0.1664 0.1664 0.1664
12 Tm 0.8336 0.8336 0.8336

energy relative to the lowest polymorph listed for this composition	0.209	eV per atom
calculated formation energy	0.30	eV/atom
size of the total moment	0.0	μB/cell

Entry 2:
A plane-wave DFT calculation with PBE was carried out for TaGe2 after structural relaxation.

Lattice parameters (Å, degrees): 6.5704 6.5729 2.7745 90.00 90.00 90.00
Sites, in units of the cell vectors:
1 Ta 0.0000 0.0000 0.0000
2 Ta 0.5000 0.5000 0.5000
3 Ge 0.1570 0.3806 0.0000
4 Ge 0.3430 0.8806 0.5000
5 Ge 0.6570 0.1194 0.5000
6 Ge 0.8430 0.6194 0.0000

calculated formation energy	0.29	eV/atom
size of the total moment	0.0	μB/cell

Entry 3:
A plane-wave DFT calculation with PBE was carried out for Ba7Ir2Cl2 after structural relaxation.

Lattice parameters (Å, degrees): 8.6281 8.6281 8.1289 93.35 93.35 111.67
Sites, in units of the cell vectors:
1 Ba 0.0000 0.0000 0.0000
2 Ba 0.0632 0.4464 0.7500
3 Ba 0.4152 0.4152 0.2191
4 Ba 0.4464 0.0632 0.7500
5 Ba 0.5536 0.9368 0.2500
6 Ba 0.5848 0.5848 0.7809
7 Ba 0.9368 0.5536 0.2500
8 Ir 0.2792 0.2792 0.8631
9 Ir 0.7208 0.7208 0.1369
10 Cl 0.2911 0.7089 0.5000
11 Cl 0.7089 0.2911 0.5000

formation energy without anion corrections	-0.58	eV/atom
size of the total moment	0.0	μB/cell